# TlZn4Pd15

Crystalline TlZn4Pd15 at its relaxed geometry (PBE-GGA, Alexandria via LeMat-Bulk).

## Properties
Formation energy from the elements in eV per atom: -0.27
E in eV/atom: -4.54
Calculated volume in A^3/atom: 15.40

The structure in POSCAR format:
```
TlZn4Pd15
1.0
-0.2443 -2.2649 -3.2595
2.9389 -2.2982 1.3766
-13.0669 -11.3845 8.8901
Pd Zn Tl
15 4 1
direct
0.5000 0.5000 0.2070 Pd
0.5000 0.5000 0.5975 Pd
0.5000 0.5000 0.7930 Pd
0.5000 0.0000 0.5000 Pd
0.0000 0.5000 0.3046 Pd
0.5000 0.0000 0.1091 Pd
0.0000 0.5000 0.8909 Pd
0.5000 0.5000 0.0000 Pd
0.0000 0.5000 0.5000 Pd
0.5000 0.0000 0.3046 Pd
0.0000 0.5000 0.6954 Pd
0.5000 0.0000 0.6954 Pd
0.5000 0.0000 0.8909 Pd
0.0000 0.5000 0.1091 Pd
0.5000 0.5000 0.4025 Pd
0.0000 0.0000 0.2060 Zn
0.0000 0.0000 0.7940 Zn
0.0000 0.0000 0.4021 Zn
0.0000 0.0000 0.5979 Zn
0.0000 0.0000 0.0000 Tl
```